Density functional theory data (PBE+U) for a relaxed Ca2TmMnO4 crystal.

a = 5.7613 Å, b = 3.3532 Å, c = 5.8256 Å
α = 90.00°, β = 109.52°, γ = 90.00°
Closest atoms and distances in Å follow each position.
Element x y z (fractional)
Ca: 0.0000 0.0000 0.0000  6 O 2.39-2.41
Ca: 0.5000 0.5000 0.0000  6 O 2.43-2.44
Tm: 0.0000 0.5000 0.5000  6 O 2.30-2.31
Mn: 0.5000 0.0000 0.5000  6 O 2.33-2.35
O: 0.2399 0.0000 0.7360  2 Tm 2.31, 1 Mn 2.35, 3 Ca 2.39-2.43
O: 0.2510 0.5000 0.2658  1 Tm 2.30, 2 Mn 2.33, 3 Ca 2.41-2.44
O: 0.7490 0.5000 0.7342  1 Tm 2.30, 2 Mn 2.33, 3 Ca 2.41-2.44
O: 0.7601 0.0000 0.2640  2 Tm 2.31, 1 Mn 2.35, 3 Ca 2.39-2.43

Total moment (μB/cell): 4.6
Raw total energy (Ry/atom): -0.5178